1.
Below is a relaxed structure of Na2La2I5Br2, with properties calculated at the PBE-GGA level.

Results
- raw formation energy (eV per atom) = -1.380
- D(E_F) (states/eV per cell) = 16.4

Cell lengths 6.4271, 6.4271, 25.8239 Å; angles 90.00, 90.00, 90.00 degrees
Space group I4/mmm (No. 139)
Symmetry-distinct sites (fractional):
Na1 0.0000 0.0000 0.1579 x4
La1 0.0000 0.0000 0.3764 x4
I1 0.0000 0.0000 0.5000 x2
I2 0.0000 0.5000 0.1201 x8
Br1 0.0000 0.0000 0.2669 x4

=====

2.
Below is a relaxed structure of HoPa2Zn6, with properties calculated at the PBE-GGA level.

Results
- electronic total energy (hartree per atom) = -0.1338
- D(E_F) (states/eV per cell) = 10.0

Cell lengths 7.9097, 7.9097, 3.2174 Å; angles 90.00, 90.00, 120.00 degrees
Space group P6/mmm (No. 191)
Symmetry-distinct sites (fractional):
Ho1 0.0000 0.0000 0.0000 x1
Pa1 0.3333 0.6667 0.0000 x2
Zn1 0.0000 0.3318 0.5000 x6

=====

3.
Below is a relaxed structure of PuTlGaAu, with properties calculated at the PBE-GGA level.

Results
- electronic total energy (hartree per atom) = -0.2189
- D(E_F) (states/eV per cell) = 48.5

Cell lengths 7.1341, 7.1341, 7.1341 Å; angles 90.00, 90.00, 90.00 degrees
Space group F-43m (No. 216)
Symmetry-distinct sites (fractional):
Pu1 0.0000 0.0000 0.0000 x4
Tl1 0.0000 0.0000 0.5000 x4
Ga1 0.2500 0.2500 0.7500 x4
Au1 0.2500 0.2500 0.2500 x4

=====

4.
Below is a relaxed structure of Zr3Zn, with properties calculated at the PBE-GGA level.

Results
- electronic total energy (hartree per atom) = -0.2492
- D(E_F) (states/eV per cell) = 10.7

Cell lengths 10.8282, 3.1892, 5.1513 Å; angles 90.00, 108.05, 90.00 degrees
Space group C2/m (No. 12)
Symmetry-distinct sites (fractional):
Zr1 0.0000 0.0000 0.0000 x2
Zr2 0.2307 0.0000 0.7330 x4
Zn1 0.0000 0.5000 0.5000 x2